# NiHgAs2Br | the Alexandria database | GGA-PBE | relaxed
data_NiHgAs2Br
_cell_length_a 4.668
_cell_length_b 4.668
_cell_length_c 5.195
_cell_angle_alpha 90.00
_cell_angle_beta 90.00
_cell_angle_gamma 90.00
_symmetry_space_group_name_H-M 'P 1'
_symmetry_Int_Tables_number 1
loop_
_symmetry_equiv_pos_as_xyz
'x,y,z'
loop_
_atom_site_label
_atom_site_fract_x
_atom_site_fract_y
_atom_site_fract_z
Ni1 0.000 0.000 0.000
Hg1 0.500 0.500 0.500
As1 0.000 0.500 0.000
As2 0.500 0.000 0.000
Br1 0.000 0.000 0.500
# E_form (uncorrected) = 0.35 eV per atom
# energy relative to the lowest polymorph listed for this composition = 0 meV per atom
# VASP energy = -3.0596 eV/atom
# crystal system = tetragonal
# space group = P4/mmm (123)